1.
The following is a DFT calculation (PBE-GGA) of crystalline V2TcPt8 at its relaxed geometry.

Summary:
DOS(E_F) = 1.022 states/eV per atom
Calculated formation energy = -0.3433 eV per atom
Magnetization = 0.42 μB per formula unit

Lattice parameters (Å, degrees): 3.9174 6.2671 7.3302 106.34 105.50 90.00
Fractional positions:
V (0.2207, 0.6476, 0.4413)
V (0.7793, 0.3524, 0.5587)
Tc (0.5000, 0.0000, 0.0000)
Pt (0.6003, 0.4502, 0.2006)
Pt (0.3186, 0.0885, 0.6372)
Pt (0.1437, 0.2017, 0.2874)
Pt (0.0460, 0.7329, 0.0920)
Pt (0.8563, 0.7983, 0.7126)
Pt (0.6814, 0.9115, 0.3628)
Pt (0.3997, 0.5498, 0.7994)
Pt (0.9540, 0.2671, 0.9080)



2.
The following is a DFT calculation (PBE-GGA) of crystalline BaLaBr2 at its relaxed geometry.

Summary:
DOS(E_F) = 0.734 states/eV per atom
Formation energy from raw total energies = -1.37 eV per atom
Magnetization = 0.04 μB per formula unit

Lattice parameters (Å, degrees): 9.5062 9.5062 9.5062 24.44 24.44 24.44
Fractional positions:
Ba (0.7500, 0.7500, 0.7500)
Br (0.9950, 0.9950, 0.9950)
Br (0.5050, 0.5050, 0.5050)
La (0.2500, 0.2500, 0.2500)



3.
The following is a DFT calculation (PBE-GGA) of crystalline ZrZnNi6 at its relaxed geometry.

Summary:
DOS(E_F) = 1.066 states/eV per atom
Calculated formation energy = -0.2616 eV per atom
Magnetization = 1.08 μB per formula unit

Lattice parameters (Å, degrees): 6.3651 6.3651 10.4091 90.00 90.00 110.10
Fractional positions:
Ni (0.2478, 0.7522, 0.4929)
Ni (0.8816, 0.6357, 0.6202)
Ni (0.1184, 0.3643, 0.6202)
Ni (0.7522, 0.2478, 0.4929)
Ni (0.3643, 0.1184, 0.6202)
Ni (0.6357, 0.8816, 0.6202)
Ni (0.5000, 0.5000, 0.2500)
Ni (0.1130, 0.3684, 0.3705)
Ni (0.3684, 0.1130, 0.3705)
Ni (0.2478, 0.7522, 0.0071)
Ni (0.8870, 0.6316, 0.1295)
Ni (0.1130, 0.3684, 0.1295)
Ni (0.7522, 0.2478, 0.0071)
Ni (0.3684, 0.1130, 0.1295)
Ni (0.6316, 0.8870, 0.1295)
Ni (0.5000, 0.5000, 0.7500)
Ni (0.1184, 0.3643, 0.8798)
Ni (0.3643, 0.1184, 0.8798)
Ni (0.0000, 0.0000, 0.2500)
Ni (0.6316, 0.8870, 0.3705)
Ni (0.8870, 0.6316, 0.3705)
Ni (0.0000, 0.0000, 0.7500)
Ni (0.6357, 0.8816, 0.8798)
Ni (0.8816, 0.6357, 0.8798)
Zn (0.2594, 0.7406, 0.2500)
Zn (0.7406, 0.2594, 0.2500)
Zn (0.0000, 0.0000, 0.4948)
Zn (0.0000, 0.0000, 0.0052)
Zr (0.2563, 0.7437, 0.7500)
Zr (0.7437, 0.2563, 0.7500)
Zr (0.5000, 0.5000, 0.4954)
Zr (0.5000, 0.5000, 0.0046)



4.
The following is a DFT calculation (PBE-GGA) of crystalline LaPrNi3 at its relaxed geometry.

Summary:
DOS(E_F) = 1.029 states/eV per atom
Calculated formation energy = -0.3089 eV per atom
Magnetization = 0.00 μB per formula unit

Lattice parameters (Å, degrees): 4.0999 3.9827 12.7537 98.98 90.00 90.00
Fractional positions:
La (0.2500, 0.8012, 0.6024)
La (0.7500, 0.1988, 0.3976)
Pr (0.2500, 0.0685, 0.1371)
Pr (0.7500, 0.9315, 0.8629)
Ni (0.2500, 0.3833, 0.7665)
Ni (0.7500, 0.6167, 0.2335)
Ni (0.2500, 0.4766, 0.9532)
Ni (0.7500, 0.5234, 0.0468)
Ni (0.7500, 0.3298, 0.6597)
Ni (0.2500, 0.6702, 0.3403)



5.
The following is a DFT calculation (PBE-GGA) of crystalline Na3ScSn at its relaxed geometry.

Summary:
DOS(E_F) = 1.699 states/eV per atom
Calculated formation energy = 0.5629 eV per atom
Magnetization = 1.04 μB per formula unit

Lattice parameters (Å, degrees): 5.7494 5.7494 5.7494 90.00 90.00 90.00
Fractional positions:
Sc (0.5000, 0.5000, 0.5000)
Na (0.0000, 0.5000, 0.0000)
Na (0.0000, 0.0000, 0.5000)
Na (0.5000, 0.0000, 0.0000)
Sn (0.0000, 0.0000, 0.0000)



6.
The following is a DFT calculation (PBE-GGA) of crystalline Sc6Zn3Tc at its relaxed geometry.

Summary:
DOS(E_F) = 0.805 states/eV per atom
Calculated formation energy = -0.2721 eV per atom
Magnetization = 0.00 μB per formula unit

Lattice parameters (Å, degrees): 4.7849 8.2555 10.5042 109.45 90.00 90.00
Fractional positions:
Sc (0.2500, 0.4740, 0.0905)
Sc (0.7500, 0.5260, 0.9095)
Sc (0.2500, 0.1284, 0.1654)
Sc (0.7500, 0.8716, 0.8346)
Sc (0.2500, 0.6661, 0.6700)
Sc (0.7500, 0.3339, 0.3300)
Sc (0.2500, 0.2320, 0.4944)
Sc (0.7500, 0.7680, 0.5056)
Sc (0.2500, 0.8508, 0.3246)
Sc (0.7500, 0.1492, 0.6754)
Sc (0.2500, 0.1085, 0.8679)
Sc (0.7500, 0.8915, 0.1321)
Zn (0.2500, 0.5265, 0.3720)
Zn (0.7500, 0.4735, 0.6280)
Zn (0.2500, 0.3936, 0.7793)
Zn (0.7500, 0.6064, 0.2207)
Zn (0.2500, 0.7691, 0.9695)
Zn (0.7500, 0.2309, 0.0305)
Tc (0.2500, 0.9568, 0.6022)
Tc (0.7500, 0.0432, 0.3978)